Dy9Y2Ho: relaxed, PBE-GGA.

```
12
Lattice="5.017 0.000 0.000 0.000 5.017 0.000 0.000 0.000 15.046" Properties=species:S:1:pos:R:3 pbc="T T T"
Dy 0.000 0.000 0.000
Dy 0.000 0.000 5.009
Dy 0.000 0.000 10.037
Dy 0.000 2.508 2.493
Dy 0.000 2.508 7.523
Dy 0.000 2.508 12.553
Dy 2.508 0.000 2.493
Dy 2.508 0.000 7.523
Dy 2.508 0.000 12.553
Y 2.508 2.508 5.009
Y 2.508 2.508 10.037
Ho 2.508 2.508 0.000
```

- symmetry = No. 123
- raw total energy (eV per atom) = -4.889
- ρ (g cm⁻³) = 7.9
- D(E_F) (states/eV/atom) = 1.5241
- excess energy over the best structure of this formula in the dataset (meV per atom) = 0
- E_form (eV per atom) = 0.022